## Na3Pt (GGA-PBE)

Data for Na3Pt after structural relaxation.

a b c (Å): 8.4552 8.4552 8.6744
angles (deg): 90.00 90.00 120.00
Space group P6_3cm (No. 185)
Unique sites:
Na: 0.0000 0.0000 0.0000 x2
Na: 0.0000 0.2849 0.7566 x6
Na: 0.0000 0.3729 0.0918 x6
Na: 0.3333 0.6667 0.3683 x4
Pt: 0.0000 0.3273 0.4242 x6



## NaPuPt (GGA-PBE)

Data for NaPuPt after structural relaxation.

a b c (Å): 6.7654 6.7654 6.7654
angles (deg): 90.00 90.00 90.00
Space group F-43m (No. 216)
Unique sites:
Na: 0.0000 0.0000 0.0000 x4
Pu: 0.0000 0.0000 0.5000 x4
Pt: 0.2500 0.2500 0.2500 x4



Number 1: total DFT energy (no corrections) -0.094 Ha/atom. Number 2: total DFT energy (no corrections) -0.271 Ha/atom.